This record from Alexandria via LeMat-Bulk describes a crystal of BaSbSeI2 relaxed with PBEsol. The functional is SCAN.

## Properties
Uncorrected formation energy in eV per atom: -0.4856
V in Å³ per cell: 180.0
Total moment in μB/cell: 0.001

abc: 5.690 5.690 5.561
angles: 90.00 90.00 90.00
Space group P4/mmm (No. 123)
Asymmetric unit:
Ba (0.000, 0.000, 0.000) [1 per cell]
Sb (0.500, 0.500, 0.000) [1 per cell]
Se (0.500, 0.500, 0.500) [1 per cell]
I (0.000, 0.500, 0.500) [2 per cell]